Ti3Pd8: relaxed, PBE.

Properties
* ρ: 8.66 g cm⁻³
* energy: -6.004 eV/atom
* density of states at the Fermi level: 9.254 states/eV per cell
* total magnetic moment: 0.00 μB per formula unit

```
data_Ti3Pd8
_chemical_formula_sum 'Ti3 Pd8'
_cell_length_a 5.764
_cell_length_b 5.764
_cell_length_c 5.764
_cell_angle_alpha 92.65
_cell_angle_beta 92.65
_cell_angle_gamma 92.65
_symmetry_space_group_name_H-M 'P 1'
_symmetry_Int_Tables_number 1
_symmetry_space_group_name_Hall 'P 1'
loop_
_atom_site_label
_atom_site_fract_x
_atom_site_fract_y
_atom_site_fract_z
Ti1 0.000 0.500 0.500
Ti2 0.500 0.000 0.500
Ti3 0.500 0.500 0.000
Pd1 0.095 0.679 0.890
Pd2 0.110 0.905 0.321
Pd3 0.321 0.110 0.905
Pd4 0.362 0.362 0.362
Pd5 0.638 0.638 0.638
Pd6 0.679 0.890 0.095
Pd7 0.890 0.095 0.679
Pd8 0.905 0.321 0.110
```

***

Ga3TcHg: relaxed, PBE.

Properties
* ρ: 7.22 g cm⁻³
* energy above the most stable polymorph in this dataset: 0 meV per atom
* density of states at the Fermi level: 2.739 states/eV per cell
* total magnetic moment: 0.00 μB per formula unit

```
data_Ga3TcHg
_chemical_formula_sum 'Ga3 Tc1 Hg1'
_cell_length_a 4.887
_cell_length_b 4.887
_cell_length_c 4.887
_cell_angle_alpha 90.00
_cell_angle_beta 90.00
_cell_angle_gamma 90.00
_symmetry_space_group_name_H-M 'P 1'
_symmetry_Int_Tables_number 1
_symmetry_space_group_name_Hall 'P 1'
loop_
_atom_site_label
_atom_site_fract_x
_atom_site_fract_y
_atom_site_fract_z
Ga1 0.000 0.000 0.500
Ga2 0.000 0.500 0.000
Ga3 0.500 0.000 0.000
Tc1 0.000 0.000 0.000
Hg1 0.500 0.500 0.500
```

***

AcSmSbS: relaxed, PBE.

Properties
* ρ: 6.64 g cm⁻³
* formation energy from raw total energies: -1.33 eV per atom
* density of states at the Fermi level: 4.360 states/eV per cell
* total magnetic moment: 0.00 μB per formula unit

```
data_AcSmSbS
_chemical_formula_sum 'Ac2 Sm2 Sb2 S2'
_cell_length_a 5.070
_cell_length_b 5.070
_cell_length_c 10.331
_cell_angle_alpha 90.00
_cell_angle_beta 90.00
_cell_angle_gamma 90.00
_symmetry_space_group_name_H-M 'P 1'
_symmetry_Int_Tables_number 1
_symmetry_space_group_name_Hall 'P 1'
loop_
_atom_site_label
_atom_site_fract_x
_atom_site_fract_y
_atom_site_fract_z
Ac1 0.250 0.250 0.142
Ac2 0.750 0.750 0.858
Sm1 0.250 0.750 0.500
Sm2 0.750 0.250 0.500
Sb1 0.250 0.250 0.680
Sb2 0.750 0.750 0.320
S1 0.250 0.750 0.000
S2 0.750 0.250 0.000
```

***

Which formula does entry 2 have? Ga3TcHg

***

Please write out number 1 again, unchanged.
Ti3Pd8: relaxed, PBE.

Properties
* ρ: 8.66 g cm⁻³
* energy: -6.004 eV/atom
* density of states at the Fermi level: 9.254 states/eV per cell
* total magnetic moment: 0.00 μB per formula unit

```
data_Ti3Pd8
_chemical_formula_sum 'Ti3 Pd8'
_cell_length_a 5.764
_cell_length_b 5.764
_cell_length_c 5.764
_cell_angle_alpha 92.65
_cell_angle_beta 92.65
_cell_angle_gamma 92.65
_symmetry_space_group_name_H-M 'P 1'
_symmetry_Int_Tables_number 1
_symmetry_space_group_name_Hall 'P 1'
loop_
_atom_site_label
_atom_site_fract_x
_atom_site_fract_y
_atom_site_fract_z
Ti1 0.000 0.500 0.500
Ti2 0.500 0.000 0.500
Ti3 0.500 0.500 0.000
Pd1 0.095 0.679 0.890
Pd2 0.110 0.905 0.321
Pd3 0.321 0.110 0.905
Pd4 0.362 0.362 0.362
Pd5 0.638 0.638 0.638
Pd6 0.679 0.890 0.095
Pd7 0.890 0.095 0.679
Pd8 0.905 0.321 0.110
```